No. 1
CsBaLi3 | PBEsol | relaxed

```
CsBaLi3
1.0
6.7438 0.0000 0.0000
0.0000 6.7438 0.0000
0.0000 0.0000 6.7438
Cs Ba Li
1 1 3
Direct
0.0000 0.0000 0.0000
0.5000 0.5000 0.5000
0.0000 0.5000 0.5000
0.5000 0.0000 0.5000
0.5000 0.5000 0.0000
```

Values from the calculation:
- size of the total moment (μB per atom) = 0.0072
- formation energy from the elements (eV per atom) = 0.580

***

No. 2
ScAlW2 | PBEsol | relaxed

```
ScAlW2
1.0
3.8442 0.0000 0.0000
0.0000 3.8442 0.0000
0.0000 0.0000 8.9368
Sc Al W
2 2 4
Direct
0.0000 0.0000 0.0000
0.5000 0.5000 0.5000
0.0000 0.0000 0.5000
0.5000 0.5000 0.0000
0.0000 0.5000 0.2500
0.0000 0.5000 0.7500
0.5000 0.0000 0.2500
0.5000 0.0000 0.7500
```

Values from the calculation:
- size of the total moment (μB per atom) = 0.0001
- formation energy from the elements (eV per atom) = 0.123

***

No. 3
LiAg2F4 | PBEsol | relaxed

```
LiAg2F4
1.0
9.5856 0.0000 0.0000
0.0000 7.2036 0.0000
0.0000 0.0000 5.4498
Li Ag F
4 8 16
Direct
0.1768 0.2500 0.0267
0.3232 0.7500 0.5267
0.6768 0.2500 0.4733
0.8232 0.7500 0.9733
0.0000 0.0000 0.5000
0.0000 0.5000 0.5000
0.1612 0.7500 0.0249
0.3388 0.2500 0.5249
0.5000 0.0000 0.0000
0.5000 0.5000 0.0000
0.6612 0.7500 0.4751
0.8388 0.2500 0.9751
0.1178 0.2500 0.7069
0.1214 0.0344 0.1878
0.1214 0.4656 0.1878
0.1311 0.7500 0.6072
0.3689 0.2500 0.1072
0.3786 0.5344 0.6878
0.3786 0.9656 0.6878
0.3822 0.7500 0.2069
0.6178 0.2500 0.7931
0.6214 0.0344 0.3122
0.6214 0.4656 0.3122
0.6311 0.7500 0.8928
0.8689 0.2500 0.3928
0.8786 0.5344 0.8122
0.8786 0.9656 0.8122
0.8822 0.7500 0.2931
```

Values from the calculation:
- size of the total moment (μB per atom) = 0.1454
- E (eV per atom) = -3.858

***

No. 4
ZrSc2Pd | PBEsol | relaxed

```
ZrSc2Pd
1.0
3.0604 0.0000 0.0000
-1.5302 2.6504 0.0000
0.0000 0.0000 30.3856
Zr Sc Pd
3 6 3
Direct
0.0000 0.0000 0.0000
0.3333 0.6667 0.6667
0.6667 0.3333 0.3333
0.0000 0.0000 0.0974
0.0000 0.0000 0.9026
0.3333 0.6667 0.5693
0.3333 0.6667 0.7641
0.6667 0.3333 0.2359
0.6667 0.3333 0.4307
0.0000 0.0000 0.5000
0.3333 0.6667 0.1667
0.6667 0.3333 0.8333
```

Values from the calculation:
- size of the total moment (μB per atom) = 0.0000
- formation energy from the elements (eV per atom) = -0.065

***

No. 5
Cd5Ag24 | PBEsol | relaxed

```
Cd5Ag24
1.0
-5.0130 5.0130 5.0130
5.0130 -5.0130 5.0130
5.0130 5.0130 -5.0130
Cd Ag
5 24
Direct
0.0000 0.0000 0.0000
0.0000 0.0000 0.3553
0.0000 0.3553 0.0000
0.3553 0.0000 0.0000
0.6447 0.6447 0.6447
0.0000 0.3136 0.5874
0.0000 0.5874 0.3136
0.0000 0.6190 0.8081
0.0000 0.8081 0.6190
0.1891 0.3810 0.3810
0.1919 0.1919 0.8109
0.1919 0.8109 0.1919
0.2738 0.6864 0.6864
0.3136 0.0000 0.5874
0.3136 0.5874 0.0000
0.3810 0.1891 0.3810
0.3810 0.3810 0.1891
0.4126 0.4126 0.7262
0.4126 0.7262 0.4126
0.5874 0.0000 0.3136
0.5874 0.3136 0.0000
0.6190 0.0000 0.8081
0.6190 0.8081 0.0000
0.6864 0.2738 0.6864
0.6864 0.6864 0.2738
0.7262 0.4126 0.4126
0.8081 0.0000 0.6190
0.8081 0.6190 0.0000
0.8109 0.1919 0.1919
```

Values from the calculation:
- size of the total moment (μB per atom) = 0.0000
- formation energy from the elements (eV per atom) = 0.032

***

No. 6
Sb2PbCl | PBEsol | relaxed

```
Sb2PbCl
1.0
3.3131 0.0000 0.0000
0.0000 3.3131 0.0000
0.0000 0.0000 9.3057
Sb Pb Cl
2 1 1
Direct
0.0000 0.0000 0.2354
0.0000 0.0000 0.7646
0.5000 0.5000 0.5000
0.5000 0.5000 0.0000
```

Values from the calculation:
- size of the total moment (μB per atom) = 0.0001
- E (eV per atom) = -3.763

***

No. 7
K2RbScV2O8 | PBEsol | relaxed

```
K2RbScV2O8
1.0
5.7600 0.0000 0.0000
-2.8800 4.9883 0.0000
0.0000 0.0000 7.5045
K Rb Sc V O
2 1 1 2 8
Direct
0.3333 0.6667 0.1891
0.6667 0.3333 0.8109
0.0000 0.0000 0.5000
0.0000 0.0000 0.0000
0.3333 0.6667 0.7551
0.6667 0.3333 0.2449
0.1703 0.3405 0.8356
0.1703 0.8297 0.8356
0.3333 0.6667 0.5344
0.3405 0.1703 0.1644
0.6595 0.8297 0.8356
0.6667 0.3333 0.4656
0.8297 0.1703 0.1644
0.8297 0.6595 0.1644
```

Values from the calculation:
- size of the total moment (μB per atom) = 0.0000
- E (eV per atom) = -7.656

***

No. 8
SiS2NO | PBEsol | relaxed

```
SiS2NO
1.0
4.1306 0.0000 0.0000
0.0000 4.1306 0.0000
0.0000 0.0000 3.6472
Si S N O
1 2 1 1
Direct
0.0000 0.0000 0.0000
0.0000 0.5000 0.5000
0.5000 0.0000 0.5000
0.5000 0.5000 0.0000
0.5000 0.5000 0.5000
```

Values from the calculation:
- size of the total moment (μB per atom) = 0.0001
- E (eV per atom) = -4.330

***

No. 9
Zn2RhBr | PBEsol | relaxed

```
Zn2RhBr
1.0
8.3181 0.0000 0.0000
0.0000 3.0996 0.0000
-2.1744 0.0000 6.2068
Zn Rh Br
4 2 2
Direct
0.0000 0.0000 0.0000
0.1715 0.5000 0.7932
0.5000 0.5000 0.0000
0.6715 0.0000 0.7932
0.3653 0.0000 0.6941
0.8653 0.5000 0.6941
0.2730 0.0000 0.2961
0.7730 0.5000 0.2961
```

Values from the calculation:
- size of the total moment (μB per atom) = 0.0000
- E (eV per atom) = -3.325

***

No. 10
CaCrCd2 | PBEsol | relaxed

```
CaCrCd2
1.0
3.4868 0.0000 0.0000
0.0000 3.4868 0.0000
0.0000 0.0000 7.0936
Ca Cr Cd
1 1 2
Direct
0.0000 0.0000 0.0000
0.0000 0.0000 0.5000
0.5000 0.5000 0.2917
0.5000 0.5000 0.7083
```

Values from the calculation:
- size of the total moment (μB per atom) = 0.9473
- formation energy from the elements (eV per atom) = 0.150

***

No. 11
Zn3RhC | PBEsol | relaxed

```
Zn3RhC
1.0
4.6569 0.0000 0.0000
0.0000 4.6569 0.0000
0.0000 0.0000 4.6569
Zn Rh C
3 1 1
Direct
0.0000 0.0000 0.5000
0.0000 0.5000 0.0000
0.5000 0.0000 0.0000
0.0000 0.0000 0.0000
0.5000 0.5000 0.5000
```

Values from the calculation:
- size of the total moment (μB per atom) = 0.3263
- formation energy from the elements (eV per atom) = 1.647

***

No. 12
Y3Os | PBEsol | relaxed

```
Y3Os
1.0
7.3179 0.0000 0.0000
0.0000 8.9493 0.0000
0.0000 0.0000 6.2492
Y Os
12 4
Direct
0.0396 0.2500 0.1283
0.1748 0.0628 0.6669
0.1748 0.4372 0.6669
0.3252 0.5628 0.1669
0.3252 0.9372 0.1669
0.4604 0.7500 0.6283
0.5396 0.2500 0.3717
0.6748 0.0628 0.8331
0.6748 0.4372 0.8331
0.8252 0.5628 0.3331
0.8252 0.9372 0.3331
0.9604 0.7500 0.8717
0.1172 0.7500 0.4603
0.3828 0.2500 0.9603
0.6172 0.7500 0.0397
0.8828 0.2500 0.5397
```

Values from the calculation:
- size of the total moment (μB per atom) = 0.0000
- formation energy from the elements (eV per atom) = -0.230